First-principles (PBE-GGA) data for a relaxed structure of CsTiOF2, as listed in Alexandria.

Cell lengths 5.129, 5.129, 4.590 Å; angles 90.00, 90.00, 90.00 degrees
Site moments in Bohr magnetons follow the coordinates.
Fractional positions:
Ti: 0.500 0.500 0.500  2.00
O: 0.000 0.000 0.500  -0.03
F: 0.500 0.000 0.000  -0.02
F: 0.000 0.500 0.000  -0.02
Cs: 0.000 0.000 0.000  0.01

Properties
ΔE_f (raw)   -391 meV/atom
E above lowest polymorph   2372 meV/atom
Total magnetic moment   2.23 μB per cell
DOS at the Fermi energy   4.91 states/eV per cell

---

First-principles (PBE-GGA) data for a relaxed structure of Zr3ScSn2, as listed in Alexandria.

Cell lengths 4.078, 9.822, 8.954 Å; angles 124.75, 90.00, 101.98 degrees
Fractional positions:
Zr: 0.688 0.376 0.480
Zr: 0.362 0.723 0.209
Zr: 0.638 0.277 0.791
Zr: 0.942 0.884 0.556
Zr: 0.312 0.624 0.520
Zr: 0.058 0.116 0.444
Sc: 0.115 0.231 0.116
Sc: 0.885 0.769 0.884
Sn: 0.505 0.010 0.165
Sn: 0.250 0.500 0.785
Sn: 0.750 0.500 0.215
Sn: 0.495 0.990 0.835

Properties
E above lowest polymorph   78 meV/atom
Total magnetic moment   0.00 μB per cell
DOS at the Fermi energy   12.76 states/eV per cell
E_form   -0.37 eV per atom

---

First-principles (PBE-GGA) data for a relaxed structure of KY2AgF8, as listed in Alexandria.

Cell lengths 3.884, 6.113, 7.745 Å; angles 90.03, 90.00, 89.99 degrees
Site moments in Bohr magnetons follow the coordinates.
Fractional positions:
F: 0.500 0.289 0.000  0.00
F: 0.000 0.292 0.245  0.00
F: 0.000 0.708 0.755  0.00
F: 0.500 0.705 0.500  0.00
F: 0.500 0.295 0.500  0.00
F: 0.000 0.707 0.245  0.00
F: 0.500 0.711 0.000  0.00
F: 0.000 0.293 0.755  0.00
Y: 0.500 0.500 0.751  0.00
Y: 0.500 0.500 0.249  0.00
Ag: 0.000 0.000 0.000  -0.09
K: 0.000 0.000 0.500  0.00

Properties
ΔE_f (raw)   -3373 meV/atom
Total magnetic moment   0.11 μB per cell
DOS at the Fermi energy   0.00 states/eV per cell

---

First-principles (PBE-GGA) data for a relaxed structure of Be3TeMo, as listed in Alexandria.

Cell lengths 4.380, 4.380, 4.380 Å; angles 90.00, 90.00, 90.00 degrees
Fractional positions:
Be: 0.000 0.500 0.000
Be: 0.500 0.000 0.000
Be: 0.000 0.000 0.500
Te: 0.500 0.500 0.500
Mo: 0.000 0.000 0.000

Properties
ΔE_f (raw)   1236 meV/atom
E above lowest polymorph   0 meV/atom
Total magnetic moment   0.00 μB per cell
DOS at the Fermi energy   3.15 states/eV per cell

---

First-principles (PBE-GGA) data for a relaxed structure of CsMgH2, as listed in Alexandria.

Cell lengths 5.562, 5.562, 6.989 Å; angles 66.55, 66.55, 90.00 degrees
Fractional positions:
Mg: 0.250 0.750 0.500
Mg: 0.500 0.500 0.000
H: 0.375 0.625 0.250
H: 0.375 0.625 0.750
H: 0.875 0.625 0.750
H: 0.375 0.125 0.250
Cs: 0.000 0.000 0.000
Cs: 0.750 0.250 0.500

Properties
E above lowest polymorph   67 meV/atom
Total magnetic moment   0.00 μB per cell
DOS at the Fermi energy   4.77 states/eV per cell

---

First-principles (PBE-GGA) data for a relaxed structure of HfIrRu2, as listed in Alexandria.

Cell lengths 3.869, 3.869, 9.555 Å; angles 78.32, 78.32, 90.00 degrees
Fractional positions:
Ir: 0.750 0.250 0.500
Ir: 0.000 0.000 0.000
Ru: 0.093 0.625 0.250
Ru: 0.375 0.343 0.750
Ru: 0.875 0.907 0.750
Ru: 0.657 0.125 0.250
Hf: 0.500 0.500 0.000
Hf: 0.250 0.750 0.500

Properties
E above lowest polymorph   562 meV/atom
Total magnetic moment   0.00 μB per cell
DOS at the Fermi energy   9.35 states/eV per cell
E_form   0.14 eV per atom

---

First-principles (PBE-GGA) data for a relaxed structure of Sm2GdTm, as listed in Alexandria.

Cell lengths 3.587, 3.587, 11.826 Å; angles 81.28, 81.28, 60.00 degrees
Site moments in Bohr magnetons follow the coordinates.
Fractional positions:
Gd: 0.500 0.500 0.500  7.16
Sm: 0.749 0.749 0.753  -0.03
Sm: 0.251 0.251 0.247  -0.03
Tm: 0.000 0.000 0.000  -0.07

Properties
E above lowest polymorph   3 meV/atom
Total magnetic moment   7.22 μB per cell
DOS at the Fermi energy   5.55 states/eV per cell
E_form   0.02 eV per atom

---

First-principles (PBE-GGA) data for a relaxed structure of Hf4MnRu3, as listed in Alexandria.

Cell lengths 3.221, 4.569, 9.100 Å; angles 90.00, 90.00, 90.00 degrees
Fractional positions:
Ru: 0.500 0.500 0.500
Ru: 0.500 0.000 0.250
Ru: 0.500 0.000 0.750
Hf: 0.000 0.500 0.243
Hf: 0.000 0.500 0.757
Hf: 0.000 0.000 0.000
Hf: 0.000 0.000 0.500
Mn: 0.500 0.500 0.000

Properties
Total magnetic moment   0.00 μB per cell
DOS at the Fermi energy   4.22 states/eV per cell
E_form   -0.65 eV per atom

---

First-principles (PBE-GGA) data for a relaxed structure of Pu2ScGa3Au12, as listed in Alexandria.

Cell lengths 11.445, 11.445, 11.445 Å; angles 33.24, 33.24, 33.24 degrees
Site moments in Bohr magnetons follow the coordinates.
Fractional positions:
Ga: 0.000 0.000 0.500  -0.01
Ga: 0.500 0.000 0.000  -0.01
Ga: 0.000 0.500 0.000  -0.01
Au: 0.582 0.129 0.129  -0.01
Au: 0.406 0.406 0.834  0.00
Au: 0.594 0.594 0.166  0.00
Au: 0.834 0.406 0.406  0.00
Au: 0.418 0.871 0.871  -0.01
Au: 0.166 0.594 0.594  0.00
Au: 0.129 0.582 0.129  -0.01
Au: 0.406 0.834 0.406  0.00
Au: 0.871 0.871 0.418  -0.01
Au: 0.594 0.166 0.594  0.00
Au: 0.129 0.129 0.582  -0.01
Au: 0.871 0.418 0.871  -0.01
Pu: 0.361 0.361 0.361  5.28
Pu: 0.639 0.639 0.639  5.28
Sc: 0.000 0.000 0.000  -0.03

Properties
Total magnetic moment   10.85 μB per cell
DOS at the Fermi energy   32.84 states/eV per cell
E_form   -0.20 eV per atom

---

First-principles (PBE-GGA) data for a relaxed structure of NdMg8Zn2, as listed in Alexandria.

Cell lengths 5.245, 7.533, 7.533 Å; angles 113.87, 81.14, 81.14 degrees
Fractional positions:
Mg: 0.299 0.407 0.407
Mg: 0.093 0.922 0.677
Mg: 0.500 0.259 0.741
Mg: 0.907 0.323 0.078
Mg: 0.093 0.677 0.922
Mg: 0.701 0.593 0.593
Mg: 0.907 0.078 0.323
Mg: 0.500 0.741 0.259
Zn: 0.000 0.691 0.309
Zn: 0.000 0.309 0.691
Nd: 0.500 0.000 0.000

Properties
Total magnetic moment   0.00 μB per cell
DOS at the Fermi energy   6.48 states/eV per cell
E_form   0.03 eV per atom

---

First-principles (PBE-GGA) data for a relaxed structure of CdAsW2, as listed in Alexandria.

Cell lengths 4.622, 4.622, 4.622 Å; angles 60.00, 60.00, 60.00 degrees
Fractional positions:
As: 0.500 0.500 0.500
W: 0.750 0.750 0.750
W: 0.000 0.000 0.000
Cd: 0.250 0.250 0.250

Properties
E above lowest polymorph   450 meV/atom
Total magnetic moment   0.00 μB per cell
DOS at the Fermi energy   2.18 states/eV per cell
E_form   0.79 eV per atom

---

First-principles (PBE-GGA) data for a relaxed structure of ScCuAs3, as listed in Alexandria.

Cell lengths 5.055, 5.055, 5.055 Å; angles 90.00, 90.00, 90.00 degrees
Fractional positions:
As: 0.000 0.500 0.000
As: 0.000 0.000 0.500
As: 0.500 0.000 0.000
Sc: 0.000 0.000 0.000
Cu: 0.500 0.500 0.500

Properties
E above lowest polymorph   377 meV/atom
Total magnetic moment   0.00 μB per cell
DOS at the Fermi energy   3.75 states/eV per cell
E_form   0.54 eV per atom